Record 1
First-principles (PBE) data for an optimized crystal structure of CeTmZnGe, as listed in Alexandria.

Computed properties:
ΔE_f = -0.478 eV/atom
Total DFT energy (no corrections) = -18.21 eV/cell
Space group = F-43m, No. 216
V = 91 Å³/cell

Cell: 5.040 5.040 5.040 Å, 60.00 60.00 60.00°
Element x y z (fractional)
Tm 0.000 0.000 0.000
Ge 0.250 0.250 0.250
Zn 0.750 0.750 0.750
Ce 0.500 0.500 0.500

***

Record 2
First-principles (PBE) data for an optimized crystal structure of Rb4Cd2As, as listed in Alexandria.

Computed properties:
ΔE_f = -0.049 eV/atom
Total DFT energy (no corrections) = -10.69 eV/cell
Space group = I4/mmm, No. 139
V = 454 Å³/cell

Cell: 6.638 6.638 11.332 Å, 72.97 72.97 90.00°
Element x y z (fractional)
Rb 0.691 0.691 0.619
Rb 0.500 0.000 0.000
Cd 0.130 0.130 0.739
As 0.000 0.000 0.000
Cd 0.870 0.870 0.261
Rb 0.309 0.309 0.381
Rb 0.000 0.500 0.000

***

Record 3
First-principles (PBE) data for an optimized crystal structure of CrNi6Pt2, as listed in Alexandria.

Computed properties:
Offset from the most stable computed form = 1.45 eV per formula unit
ΔE_f = 0.090 eV/atom
Total DFT energy (no corrections) = -55.58 eV/cell
Space group = C2/m, No. 12
V = 112 Å³/cell

Cell: 5.726 4.759 4.759 Å, 59.95 89.84 89.84°
Element x y z (fractional)
Ni 0.673 0.169 0.663
Pt 0.915 0.667 0.667
Ni 0.671 0.169 0.169
Ni 0.329 0.831 0.831
Cr 0.000 0.000 0.000
Pt 0.085 0.333 0.333
Ni 0.327 0.337 0.831
Ni 0.673 0.663 0.169
Ni 0.327 0.831 0.337